Below is a relaxed La2TbTmBi4 crystal, with properties calculated at the GGA-PBE level.

a b c (Å): 7.9188 4.5960 7.9542
angles (deg): 90.00 109.56 90.00
Space group P2/m (No. 10)
One atom of each set of equivalent atoms:
La: 0.0000 0.0000 0.0000
La: 0.0000 0.5000 0.5000
Tb: 0.5000 0.0000 0.5000
Tm: 0.5000 0.5000 0.0000
Bi: 0.2631 0.5000 0.2525
Bi: 0.2647 0.0000 0.7568

Properties
As for the formation energy: -0.940 eV/atom. Its calculated total energy is -5.2499 eV per atom. The total moment comes out at 0.00 Bohr magnetons per cell.

---

Below is a relaxed La3TbTm2Bi6 crystal, with properties calculated at the GGA-PBE level.

a b c (Å): 7.9503 13.7695 7.9032
angles (deg): 90.00 109.57 90.00
Space group C2/m (No. 12)
One atom of each set of equivalent atoms:
La: 0.0000 0.0000 0.0000
La: 0.0000 0.3343 0.0000
Tb: 0.0000 0.5000 0.5000
Tm: 0.0000 0.1670 0.5000
Bi: 0.2423 0.0000 0.7345
Bi: 0.2465 0.3322 0.7357

Properties
As for the formation energy: -0.931 eV/atom. Its calculated total energy is -5.2347 eV per atom. The total moment comes out at 0.00 Bohr magnetons per cell.

---

Below is a relaxed LaTbZnBi crystal, with properties calculated at the GGA-PBE level.

a b c (Å): 7.6689 7.6689 7.6689
angles (deg): 90.00 90.00 90.00
Space group F-43m (No. 216)
One atom of each set of equivalent atoms:
La: 0.0000 0.0000 0.0000
Tb: 0.0000 0.0000 0.5000
Zn: 0.2500 0.2500 0.7500
Bi: 0.2500 0.2500 0.2500

Properties
As for the formation energy: -0.463 eV/atom. Its calculated total energy is -4.1407 eV per atom. The total moment comes out at 0.00 Bohr magnetons per cell.

---

Below is a relaxed LaTc3Bi crystal, with properties calculated at the GGA-PBE level.

a b c (Å): 4.8804 4.8804 4.8804
angles (deg): 90.00 90.00 90.00
Space group Pm-3m (No. 221)
One atom of each set of equivalent atoms:
La: 0.0000 0.0000 0.0000
Tc: 0.0000 0.0000 0.5000
Bi: 0.5000 0.5000 0.5000

Properties
As for the formation energy: 1.921 eV/atom. Its calculated total energy is -6.0602 eV per atom. The total moment comes out at 1.91 Bohr magnetons per cell. As for the energy above the lowest structure with this stoichiometry: 431 meV/atom.

---

| no. | volume (A^3/atom) |
| --- | --- |
| 1 | 34.1 |
| 2 | 34.0 |
| 3 | 28.2 |
| 4 | 23.2 |